Material: BaAuSe2
Method: DFT, PBEsol
State: relaxed

a b c (Å): 4.3405 5.1017 5.1009
angles (deg): 90.00 90.04 90.00
Space group Pm (No. 6)
Symmetry-distinct sites (fractional):
Ba1 0.0000 0.0000 0.0000 (multiplicity 1)
Au1 0.5964 0.5000 0.4971 (multiplicity 1)
Se1 0.5112 0.0000 0.5002 (multiplicity 1)
Se2 0.5108 0.5000 0.9971 (multiplicity 1)

Raw formation energy = -0.994 eV per atom
Electronic total energy = -0.32614 Ry per atom
Energy above the lowest structure with this stoichiometry = 0.0 kJ/mol of atoms
V = 113 Å³/f.u.

***

Material: BaSiAu2
Method: DFT, PBEsol
State: relaxed

a b c (Å): 4.7432 4.5708 4.9892
angles (deg): 90.00 93.50 90.00
Space group Pm (No. 6)
Symmetry-distinct sites (fractional):
Ba1 0.0000 0.0000 0.0000 (multiplicity 1)
Si1 0.6779 0.5000 0.4457 (multiplicity 1)
Au1 0.1745 0.5000 0.5450 (multiplicity 1)
Au2 0.5120 0.0000 0.4840 (multiplicity 1)

Raw formation energy = -0.484 eV per atom
Electronic total energy = -0.32486 Ry per atom
V = 108 Å³/f.u.

***

Material: BaSiAu3
Method: DFT, PBEsol
State: relaxed

a b c (Å): 5.7319 5.7319 5.7319
angles (deg): 90.00 90.00 90.00
Space group Pm-3m (No. 221)
Symmetry-distinct sites (fractional):
Ba1 0.0000 0.0000 0.0000 (multiplicity 1)
Si1 0.5000 0.5000 0.5000 (multiplicity 1)
Au1 0.0000 0.0000 0.5000 (multiplicity 3)

Raw formation energy = 1.358 eV per atom
Electronic total energy = -0.18931 Ry per atom
Energy above the lowest structure with this stoichiometry = 184.6 kJ/mol of atoms
V = 188 Å³/f.u.

***

Material: BaSiAu2
Method: DFT, PBEsol
State: relaxed

a b c (Å): 5.2839 5.2839 16.1756
angles (deg): 90.00 90.00 90.00
Space group I4_1/amd (No. 141, origin choice 2)
Symmetry-distinct sites (fractional):
Ba1 0.0000 0.2500 0.3750 (multiplicity 4)
Si1 0.0000 0.2500 0.8750 (multiplicity 4)
Au1 0.0000 0.0000 0.0000 (multiplicity 8)

Raw formation energy = -0.478 eV per atom
Electronic total energy = -0.32441 Ry per atom
V = 113 Å³/f.u.

***

Material: Ba4Si20Au3
Method: DFT, PBEsol
State: relaxed

a b c (Å): 10.3939 10.3939 10.3939
angles (deg): 90.00 90.00 90.00
Space group Pm-3n (No. 223)
Symmetry-distinct sites (fractional):
Ba1 0.0000 0.0000 0.0000 (multiplicity 2)
Ba2 0.0000 0.2500 0.5000 (multiplicity 6)
Si1 0.0000 0.3058 0.1171 (multiplicity 24)
Si2 0.1837 0.1837 0.1837 (multiplicity 16)
Au1 0.0000 0.5000 0.2500 (multiplicity 6)

Raw formation energy = -0.334 eV per atom
Electronic total energy = -0.39287 Ry per atom
V = 561 Å³/f.u.

***

Material: BaSiAu2
Method: DFT, PBEsol
State: relaxed

a b c (Å): 4.4122 6.0160 7.6691
angles (deg): 90.00 90.00 90.00
Space group Imm2 (No. 44)
Symmetry-distinct sites (fractional):
Ba1 0.0000 0.0000 0.0000 (multiplicity 2)
Si1 0.0000 0.5000 0.8189 (multiplicity 2)
Au1 0.0000 0.0000 0.4470 (multiplicity 2)
Au2 0.0000 0.5000 0.1676 (multiplicity 2)

Raw formation energy = -0.206 eV per atom
Electronic total energy = -0.30443 Ry per atom
V = 102 Å³/f.u.

***

Material: BaSiAu3
Method: DFT, PBEsol
State: relaxed

a b c (Å): 4.9042 4.9042 4.9042
angles (deg): 90.00 90.00 90.00
Space group Pm-3m (No. 221)
Symmetry-distinct sites (fractional):
Ba1 0.0000 0.0000 0.0000 (multiplicity 1)
Si1 0.5000 0.5000 0.5000 (multiplicity 1)
Au1 0.0000 0.5000 0.5000 (multiplicity 3)

Raw formation energy = -0.450 eV per atom
Electronic total energy = -0.32218 Ry per atom
Energy above the lowest structure with this stoichiometry = 10.2 kJ/mol of atoms
V = 118 Å³/f.u.

***

Material: Ba4Si21Au2
Method: DFT, PBEsol
State: relaxed

a b c (Å): 10.3345 14.6833 14.6917
angles (deg): 90.00 90.00 90.00
Space group Ama2 (No. 40)
Symmetry-distinct sites (fractional):
Ba1 0.0000 0.0000 0.0000 (multiplicity 4)
Ba2 0.2500 0.1148 0.6382 (multiplicity 4)
Ba3 0.2500 0.2502 0.2619 (multiplicity 4)
Ba4 0.2500 0.3732 0.8965 (multiplicity 4)
Si1 0.0568 0.1918 0.8212 (multiplicity 8)
Si2 0.0569 0.3098 0.7030 (multiplicity 8)
Si3 0.0654 0.2476 0.0774 (multiplicity 8)
Si4 0.0652 0.4328 0.2623 (multiplicity 8)
Si5 0.0663 0.0644 0.2616 (multiplicity 8)
Si6 0.0659 0.2484 0.4460 (multiplicity 8)
Si7 0.1312 0.4003 0.1099 (multiplicity 8)
Si8 0.1326 0.0961 0.4141 (multiplicity 8)
Si9 0.2500 0.0375 0.1661 (multiplicity 4)
Si10 0.2500 0.1541 0.0487 (multiplicity 4)
Si11 0.2500 0.3431 0.4740 (multiplicity 4)
Si12 0.2500 0.3749 0.6368 (multiplicity 4)
Si13 0.2500 0.4623 0.3551 (multiplicity 4)
Au1 0.0000 0.0000 0.5132 (multiplicity 4)
Au2 0.2500 0.1247 0.8860 (multiplicity 4)

Raw formation energy = -0.298 eV per atom
Electronic total energy = -0.39517 Ry per atom
V = 557 Å³/f.u.